Entry from Alexandria: Ag2AsPb at its PBEsol-relaxed geometry (meta-GGA SCAN).

Spin magnetization ... 0.0 Bohr magnetons per cell
Energy ... -39.4734 eV/atom
Theoretical density ... 10.08 Mg/m³
N(E_F) ... 0.417 states/eV per atom
DFT formation energy ... 0.8 eV per formula unit
Volume ... 20.5 Å³ per atom
Crystal system ... trigonal

a b c (Å): 3.3221 3.3221 25.7401
angles (deg): 90.00 90.00 120.00
Space group R-3m (No. 166, hexagonal axes)
Asymmetric unit:
Ag 0.0000 0.0000 0.2416 x6
As 0.0000 0.0000 0.5000 x3
Pb 0.0000 0.0000 0.0000 x3



Entry from Alexandria: Ag2AsPb at its PBEsol-relaxed geometry (meta-GGA SCAN).

Spin magnetization ... 0.0 Bohr magnetons per cell
Energy ... -39.5082 eV/atom
Theoretical density ... 9.99 Mg/m³
N(E_F) ... 0.397 states/eV per atom
DFT formation energy ... 0.7 eV per formula unit
Volume ... 20.7 Å³ per atom
Crystal system ... monoclinic

a b c (Å): 8.6208 3.3081 5.9425
angles (deg): 90.00 102.42 90.00
Space group C2/m (No. 12)
Asymmetric unit:
Ag 0.2414 0.0000 0.2053 x4
As 0.0000 0.5000 0.0000 x2
Pb 0.0000 0.0000 0.5000 x2



Entry from Alexandria: AgAsPb2 at its PBEsol-relaxed geometry (meta-GGA SCAN).

Spin magnetization ... 0.0 Bohr magnetons per cell
Energy ... -50.7096 eV/atom
Theoretical density ... 10.18 Mg/m³
N(E_F) ... 0.424 states/eV per atom
DFT formation energy ... 0.3 eV per formula unit
Volume ... 24.4 Å³ per atom
Crystal system ... monoclinic

a b c (Å): 4.2027 4.1613 5.9516
angles (deg): 90.00 110.62 90.00
Space group Pm (No. 6)
Asymmetric unit:
Ag 0.0000 0.0000 0.0000 x1
As 0.1587 0.5000 0.3148 x1
Pb 0.4267 0.5000 0.8535 x1
Pb 0.7304 0.0000 0.4596 x1



Entry from Alexandria: AgAsPb2 at its PBEsol-relaxed geometry (meta-GGA SCAN).

Spin magnetization ... 0.0 Bohr magnetons per cell
Energy ... -50.5749 eV/atom
Theoretical density ... 10.48 Mg/m³
N(E_F) ... 0.439 states/eV per atom
DFT formation energy ... 0.8 eV per formula unit
Volume ... 23.7 Å³ per atom
Crystal system ... tetragonal

a b c (Å): 4.8743 4.8743 3.9819
angles (deg): 90.00 90.00 90.00
Space group P4/mmm (No. 123)
Asymmetric unit:
Ag 0.0000 0.0000 0.0000 x1
As 0.5000 0.5000 0.0000 x1
Pb 0.0000 0.5000 0.5000 x2